Computed, not measured: crystalline VNiPS2 at its relaxed geometry at the PBE level of DFT.

The structure in POSCAR format:
```
VNiPS2
1.0
4.576 0.000 0.000
0.000 4.576 0.000
0.000 0.000 4.147
S V Ni P
2 1 1 1
Direct
0.000 0.500 0.000
0.500 0.000 0.000
0.500 0.500 0.500
0.000 0.000 0.000
0.000 0.000 0.500
```

Computed properties:
Its symmetry is P4/mmm (123). The formation energy (no corrections) comes out at 0.468 eV per atom. As for the theoretical density: 3.92 Mg/m³. For the total magnetic moment, the calculation gives 0.530 μB/atom.